(1)
GGA-PBE SrTlCdSb, optimized geometry; space group = F-43m, No. 216; ρ = 6.8 Mg/m³; calculated total energy = -10.492 eV/f.u.; spin magnetization = 0.00 μB per formula unit
1.0
0.000 4.005 4.005
4.005 0.000 4.005
4.005 4.005 0.000
Sr Tl Cd Sb
1 1 1 1
Direct
0.000 0.000 0.000 Sr
0.500 0.500 0.500 Tl
0.250 0.250 0.250 Cd
0.750 0.750 0.750 Sb


(2)
GGA-PBE SrZnCdSb2, optimized geometry; space group = C2/m, No. 12; ρ = 5.0 Mg/m³; calculated total energy = -14.264 eV/f.u.; spin magnetization = 0.00 μB per formula unit
1.0
8.649 -2.307 0.000
8.649 2.307 0.000
-2.575 0.000 8.425
Sr Zn Cd Sb
2 2 2 4
Direct
0.236 0.236 0.220 Sr
0.764 0.764 0.780 Sr
0.139 0.139 0.536 Zn
0.861 0.861 0.464 Zn
0.468 0.468 0.247 Cd
0.532 0.532 0.753 Cd
0.130 0.130 0.834 Sb
0.363 0.363 0.626 Sb
0.637 0.637 0.374 Sb
0.870 0.870 0.166 Sb